Record 1
KPuSnTe3 | GGA-PBE | relaxed

The structure belongs to space group P2_1/m (No. 11); the cell edges are 9.2763, 4.4755 and 11.7082 Å and the angles 90.00°, 107.31° and 90.00°. The inequivalent atoms are K at (0.2220, 0.2500, 0.2650), Pu at (0.3601, 0.7500, 0.8420), Sn at (0.1321, 0.2500, 0.5564), Te at (0.1086, 0.2500, 0.7967), Te at (0.3524, 0.7500, 0.5701) and Te at (0.3973, 0.7500, 0.1135).

The uncorrected energy comes out at -67.41 eV/cell. The value obtained for the volume is 38.7 Å³ per atom. The uncorrected formation energy is -808.1 meV per atom. The value obtained for the total magnetization is 10.00 Bohr magnetons per cell.

Record 2
K2PuSnTe4 | GGA-PBE | relaxed

The structure belongs to space group P2/m (No. 10); the cell edges are 8.0351, 4.5632 and 8.5141 Å and the angles 90.00°, 107.62° and 90.00°. The inequivalent atoms are K at (0.0000, 0.0000, 0.0000), K at (0.5000, 0.5000, 0.0000), Pu at (0.0000, 0.5000, 0.5000), Sn at (0.5000, 0.0000, 0.5000), Te at (0.2297, 0.0000, 0.7049) and Te at (0.2554, 0.5000, 0.2941).

The uncorrected energy comes out at -39.78 eV/cell. The value obtained for the volume is 37.2 Å³ per atom. The uncorrected formation energy is -835.0 meV per atom. The value obtained for the total magnetization is 4.21 Bohr magnetons per cell.